Material: Rb2HfBeZn
Method: DFT, PBE
State: optimized geometry

Results
ΔE_f ... 630 kJ/mol of formula units
Crystal system ... tetragonal
Uncorrected energy ... -2.07 eV per atom

CIF file:
```
data_Rb2HfBeZn
_symmetry_space_group_name_H-M 'P 4/m m m'
_symmetry_Int_Tables_number 123
_symmetry_space_group_name_Hall '-P 4 2'
_cell_length_a 6.808
_cell_length_b 6.808
_cell_length_c 4.288
_cell_angle_alpha 90.00
_cell_angle_beta 90.00
_cell_angle_gamma 90.00
loop_
_atom_site_label
_atom_site_type_symbol
_atom_site_fract_x
_atom_site_fract_y
_atom_site_fract_z
_atom_site_occupancy
Rb1 Rb 0.000 0.500 0.000 1
Hf1 Hf 0.000 0.000 0.500 1
Be1 Be 0.500 0.500 0.500 1
Zn1 Zn 0.500 0.500 0.000 1
```